No. 1
This record from Alexandria describes a geometry-optimized Re4Rh structure. The functional is PBE-GGA.

As for the final energy: -44.15 eV per formula unit. The calculation puts the excess energy over the best structure of this formula in the dataset at 2.5879 eV/atom. The energy of formation comes out at 2599 meV per atom.

The space group is Pm-3m (No. 221) and the conventional cell measures 4.576, 4.576 and 4.576 Å, with angles of 90.00, 90.00 and 90.00 degrees. Symmetry generates all atoms from Re at (0.000, 0.000, 0.000), Re at (0.000, 0.500, 0.500) and Rh at (0.500, 0.500, 0.500).

---

No. 2
This record from Alexandria describes a geometry-optimized Re3Rh structure. The functional is PBE-GGA.

As for the final energy: -43.55 eV per formula unit. The energy of formation comes out at 287 meV per atom.

The space group is P4/mmm (No. 123) and the conventional cell measures 3.272, 3.272 and 5.605 Å, with angles of 90.00, 90.00 and 90.00 degrees. Symmetry generates all atoms from Re at (0.000, 0.000, 0.000), Re at (0.500, 0.500, 0.260) and Rh at (0.000, 0.000, 0.500).

---

No. 3
This record from Alexandria describes a geometry-optimized ReRh3 structure. The functional is PBE-GGA.

As for the final energy: -33.45 eV per formula unit. The calculation puts the excess energy over the best structure of this formula in the dataset at 0.3742 eV/atom. The energy of formation comes out at 264 meV per atom.

The space group is Cmcm (No. 63) and the conventional cell measures 7.446, 7.434 and 4.475 Å, with angles of 90.00, 90.00 and 90.00 degrees. Symmetry generates all atoms from Re at (0.000, 0.087, 0.250), Rh at (0.000, 0.419, 0.250) and Rh at (0.169, 0.247, 0.750).

---

No. 4
This record from Alexandria describes a geometry-optimized ReRh3 structure. The functional is PBE-GGA.

As for the final energy: -34.66 eV per formula unit. The calculation puts the excess energy over the best structure of this formula in the dataset at 0.0721 eV/atom. The energy of formation comes out at -38 meV per atom.

The space group is Fmmm (No. 69) and the conventional cell measures 5.445, 5.456 and 7.691 Å, with angles of 90.00, 90.00 and 90.00 degrees. Symmetry generates all atoms from Re at (0.000, 0.000, 0.000), Rh at (0.000, 0.000, 0.500) and Rh at (0.250, 0.250, 0.250).

---

No. 5
This record from Alexandria describes a geometry-optimized ReRh3 structure. The functional is PBE-GGA.

As for the final energy: -34.79 eV per formula unit. The calculation puts the excess energy over the best structure of this formula in the dataset at 0.0381 eV/atom. The energy of formation comes out at -72 meV per atom.

The space group is Imma (No. 74) and the conventional cell measures 3.861, 3.881 and 15.297 Å, with angles of 90.00, 90.00 and 90.00 degrees. Symmetry generates all atoms from Re at (0.000, 0.250, 0.188), Rh at (0.000, 0.250, 0.438), Rh at (0.000, 0.250, 0.689) and Rh at (0.000, 0.250, 0.933).

---

No. 6
This record from Alexandria describes a geometry-optimized ReRh3 structure. The functional is PBE-GGA.

As for the final energy: -34.87 eV per formula unit. The calculation puts the excess energy over the best structure of this formula in the dataset at 0.0188 eV/atom. The energy of formation comes out at -92 meV per atom.

The space group is P-6m2 (No. 187) and the conventional cell measures 2.7484, 2.7484 and 8.8000 Å, with angles of 90.00, 90.00 and 120.00 degrees. Symmetry generates all atoms from Re at (0.0000, 0.0000, 0.0000), Rh at (0.0000, 0.0000, 0.5000) and Rh at (0.3333, 0.6667, 0.2426).

---

No. 7
This record from Alexandria describes a geometry-optimized ReRh3 structure. The functional is PBE-GGA.

As for the final energy: -33.45 eV per formula unit. The calculation puts the excess energy over the best structure of this formula in the dataset at 0.3730 eV/atom. The energy of formation comes out at 262 meV per atom.

The space group is R-3m (No. 166, hexagonal axes) and the conventional cell measures 4.3839, 4.3839 and 21.7531 Å, with angles of 90.00, 90.00 and 120.00 degrees. Symmetry generates all atoms from Re at (0.0000, 0.0000, 0.0564), Rh at (0.0000, 0.0000, 0.1676), Rh at (0.0000, 0.0000, 0.3000) and Rh at (0.0000, 0.0000, 0.4317).

---

No. 8
This record from Alexandria describes a geometry-optimized Re3Rh5 structure. The functional is PBE-GGA.

As for the final energy: -71.84 eV per formula unit. The calculation puts the excess energy over the best structure of this formula in the dataset at 0.4265 eV/atom. The energy of formation comes out at 282 meV per atom.

The space group is P4/mmm (No. 123) and the conventional cell measures 3.296, 3.296 and 10.891 Å, with angles of 90.00, 90.00 and 90.00 degrees. Symmetry generates all atoms from Re at (0.000, 0.000, 0.000), Re at (0.000, 0.000, 0.253), Rh at (0.000, 0.000, 0.500), Rh at (0.500, 0.500, 0.121) and Rh at (0.500, 0.500, 0.369).

---

| no. | calculated density (g/cm3) |
| --- | --- |
| 1 | 14.69 |
| 2 | 18.31 |
| 3 | 13.27 |
| 4 | 14.39 |
| 5 | 14.34 |
| 6 | 14.28 |
| 7 | 13.62 |
| 8 | 15.06 |